[1]
{"formula": "TcAsSe", "functional": "PBE", "state": "relaxed", "lattice_angstrom": [[-2.164, -2.493, -3.040], [1.737, -1.932, 3.659], [-2.578, 0.453, 1.463]], "species": ["As", "Tc", "Se"], "frac_coords": [[0.000, 0.000, 0.836], [0.333, 0.667, 0.635], [0.667, 0.333, 0.528]], "e_form_raw_mev_per_atom": 344, "final_energy_ev_per_atom": -5.82, "total_magnetization_mub_per_atom": 0.138, "relative_energy_ev_per_atom": 0.662, "spacegroup": "P3m1 (156)", "dos_at_fermi_per_ev_cell": 2.97}

=====

[2]
{"formula": "GdHo2Tl", "functional": "PBE", "state": "relaxed", "lattice_angstrom": [[3.613, 0.000, 0.000], [0.000, 3.613, 0.000], [0.000, 0.000, 9.092]], "species": ["Tl", "Gd", "Ho", "Ho"], "frac_coords": [[0.500, 0.500, 0.000], [0.500, 0.500, 0.500], [0.000, 0.000, 0.773], [0.000, 0.000, 0.227]], "final_energy_ev_per_atom": -6.56, "e_form_mev_per_atom": -159, "total_magnetization_mub_per_atom": 1.837, "relative_energy_ev_per_atom": 0.035, "spacegroup": "P4/mmm (123)", "dos_at_fermi_per_ev_cell": 4.86}

=====

[3]
{"formula": "Re2As", "functional": "PBE", "state": "relaxed", "lattice_angstrom": [[-3.200, 2.347, 2.302], [-4.162, -0.156, -1.923], [3.323, -2.634, 1.752]], "species": ["Re", "Re", "As"], "frac_coords": [[0.673, 0.673, 0.000], [0.327, 0.327, 0.000], [0.000, 0.000, 0.000]], "final_energy_ev_per_atom": -9.47, "e_form_mev_per_atom": 379, "total_magnetization_mub_per_atom": 0.000, "spacegroup": "Immm (71)", "dos_at_fermi_per_ev_cell": 1.75}

=====

[4]
{"formula": "Ta2GaIrPb", "functional": "PBE", "state": "relaxed", "lattice_angstrom": [[-4.117, 2.513, 1.174], [-2.700, -4.298, -0.267], [0.861, -0.840, 4.817]], "species": ["Pb", "Ir", "Ga", "Ta", "Ta"], "frac_coords": [[0.000, 0.500, 0.000], [0.000, 0.000, 0.000], [0.500, 0.500, 0.500], [0.000, 0.000, 0.500], [0.500, 0.000, 0.000]], "final_energy_ev_per_atom": -6.77, "e_form_mev_per_atom": 1088, "total_magnetization_mub_per_atom": 0.147, "relative_energy_ev_per_atom": 0.000, "spacegroup": "P4/mmm (123)", "dos_at_fermi_per_ev_cell": 6.08}